# Ca5Mg2Ga2 | Alexandria via LeMat-Bulk | PBE-GGA | optimized geometry
data_Ca5Mg2Ga2
_space_group_name_H-M_alt 'P 1'
_space_group_IT_number 1
_cell_length_a 8.054
_cell_length_b 8.055
_cell_length_c 9.544
_cell_angle_alpha 90.00
_cell_angle_beta 65.05
_cell_angle_gamma 90.00
loop_
_space_group_symop_operation_xyz
'x,y,z'
loop_
_atom_site_label
_atom_site_type_symbol
_atom_site_fract_x
_atom_site_fract_y
_atom_site_fract_z
Ca1 Ca 0.938 0.316 0.755
Ca2 Ca 0.307 0.684 0.755
Ca3 Ca 0.693 0.316 0.245
Ca4 Ca 0.807 0.816 0.755
Ca5 Ca 0.000 0.000 0.000
Ca6 Ca 0.062 0.684 0.245
Ca7 Ca 0.438 0.184 0.755
Ca8 Ca 0.500 0.500 0.000
Ca9 Ca 0.562 0.816 0.245
Ca10 Ca 0.193 0.184 0.245
Mg1 Mg 0.724 0.500 0.553
Mg2 Mg 0.224 0.000 0.553
Mg3 Mg 0.276 0.500 0.447
Mg4 Mg 0.776 0.000 0.447
Ga1 Ga 0.390 0.889 0.000
Ga2 Ga 0.110 0.389 0.000
Ga3 Ga 0.890 0.611 0.000
Ga4 Ga 0.610 0.111 0.000
# ΔH_f (0 K): -0.186 eV/atom
# calculated total energy: -41.847 eV for the cell shown